(a)
Entry from the Alexandria database: an optimized crystal structure of GdZrTl (PBE-GGA).

Cell: 3.4537 3.4537 7.0801 Å, 104.12 104.12 90.00°
Site moments in Bohr magnetons follow the coordinates.
Atoms (fractional coordinates):
Zr: 0.2757 0.2757 0.5514  -0.12
Gd: 0.9505 0.9505 0.9010  7.09
Tl: 0.6238 0.6238 0.2476  0.00

- Total magnetic moment: 7.08 μB per cell
- DOS at the Fermi energy: 0.969 states/eV/atom
- Symmetry: I4mm

***

(b)
Entry from the Alexandria database: an optimized crystal structure of GdZrTl (PBE-GGA).

Cell: 3.4824 5.1716 5.1716 Å, 120.00 90.00 90.00°
Site moments in Bohr magnetons follow the coordinates.
Atoms (fractional coordinates):
Gd: 0.3336 0.3333 0.6667  7.11
Tl: 0.8325 0.6667 0.3333  -0.02
Zr: 0.8339 0.0000 0.0000  0.07

- Total magnetic moment: 7.43 μB per cell
- DOS at the Fermi energy: 1.340 states/eV/atom
- Symmetry: P-6m2

***

Which structure is the least stable? The one labeled (b).

***

(a)
Entry from the Alexandria database: an optimized crystal structure of GdTm2 (PBE-GGA).

Cell: 6.5558 6.5558 6.5558 Å, 60.00 60.00 60.00°
Site moments in Bohr magnetons follow the coordinates.
Atoms (fractional coordinates):
Gd: 0.2500 0.2500 0.2500  7.50
Tm: 0.6250 0.6250 0.1250  0.43
Tm: 0.6250 0.1250 0.6250  0.43
Gd: 0.0000 0.0000 0.0000  7.50
Tm: 0.1250 0.6250 0.6250  0.43
Tm: 0.6250 0.6250 0.6250  0.43

- Total magnetic moment: 18.90 μB per cell
- DOS at the Fermi energy: 3.036 states/eV/atom
- Symmetry: Fd-3m

***

(b)
Entry from the Alexandria database: an optimized crystal structure of GdTm2 (PBE-GGA).

Cell: 3.5229 3.5229 7.8578 Å, 102.95 102.95 90.00°
Site moments in Bohr magnetons follow the coordinates.
Atoms (fractional coordinates):
Gd: 0.0000 0.0000 0.0000  7.19
Tm: 0.3313 0.3313 0.6626  -0.06
Tm: 0.6687 0.6687 0.3374  -0.06

- Total magnetic moment: 7.29 μB per cell
- DOS at the Fermi energy: 1.528 states/eV/atom
- Symmetry: I4/mmm

***

Which structure is the least stable? The one labeled (a).

***

(a)
Entry from the Alexandria database: an optimized crystal structure of Gd3Tm (PBE-GGA).

Cell: 5.0282 5.0282 5.0282 Å, 90.00 90.00 90.00°
Site moments in Bohr magnetons follow the coordinates.
Atoms (fractional coordinates):
Gd: 0.5000 0.5000 0.0000  7.14
Gd: 0.0000 0.5000 0.5000  7.14
Tm: 0.0000 0.0000 0.0000  0.00
Gd: 0.5000 0.0000 0.5000  7.14

- Total magnetic moment: 22.10 μB per cell
- DOS at the Fermi energy: 2.041 states/eV/atom
- Symmetry: Pm-3m

***

(b)
Entry from the Alexandria database: an optimized crystal structure of Gd3Tm (PBE-GGA).

Cell: 3.6124 6.2412 6.7856 Å, 117.38 105.44 90.00°
Site moments in Bohr magnetons follow the coordinates.
Atoms (fractional coordinates):
Tm: 0.0000 0.8357 0.0000  0.20
Gd: 0.5000 0.3339 0.0000  7.32
Gd: 0.2515 0.7500 0.5030  7.30
Gd: 0.7485 0.2470 0.4970  7.30

- Total magnetic moment: 23.31 μB per cell
- DOS at the Fermi energy: 1.536 states/eV/atom
- Symmetry: Imm2

***

(c)
Entry from the Alexandria database: an optimized crystal structure of Gd3Tm (PBE-GGA).

Cell: 4.5756 4.5756 7.1986 Å, 108.53 108.53 90.00°
Site moments in Bohr magnetons follow the coordinates.
Atoms (fractional coordinates):
Gd: 0.2478 0.2478 0.4957  7.53
Gd: 0.7522 0.7522 0.5043  7.53
Tm: 0.0000 0.0000 0.0000  -0.19
Gd: 0.5000 0.5000 0.0000  -7.29

- Total magnetic moment: 8.03 μB per cell
- DOS at the Fermi energy: 2.178 states/eV/atom
- Symmetry: I4/mmm

***

Which structure is the least stable? The one labeled (c).

***

(a)
Entry from the Alexandria database: an optimized crystal structure of GdYTm2 (PBE-GGA).

Cell: 4.9745 5.0030 5.0030 Å, 90.00 90.00 90.00°
Site moments in Bohr magnetons follow the coordinates.
Atoms (fractional coordinates):
Gd: 0.5000 0.5000 0.5000  7.13
Tm: 0.0000 0.5000 0.0000  -0.06
Y: 0.5000 0.0000 0.0000  -0.06
Tm: 0.0000 0.0000 0.5000  -0.06

- Total magnetic moment: 7.05 μB per cell
- DOS at the Fermi energy: 1.725 states/eV/atom
- Symmetry: P4/mmm

***

(b)
Entry from the Alexandria database: an optimized crystal structure of GdYTm2 (PBE-GGA).

Cell: 5.6359 5.6359 5.6359 Å, 60.00 60.00 60.00°
Site moments in Bohr magnetons follow the coordinates.
Atoms (fractional coordinates):
Tm: 0.7500 0.7500 0.7500  0.16
Tm: 0.2500 0.2500 0.2500  0.16
Y: 0.5000 0.5000 0.5000  0.08
Gd: 0.0000 0.0000 0.0000  7.24

- Total magnetic moment: 8.13 μB per cell
- DOS at the Fermi energy: 2.155 states/eV/atom
- Symmetry: Fm-3m

***

Which structure is the least stable? The one labeled (b).